No. 1
# LaSc2Nb2

Crystalline LaSc2Nb2 at its relaxed geometry (GGA-PBE, the Alexandria database).

Formation enthalpy at 0 K ... 0.218 eV/atom
N(E_F) ... 7.56 states/eV per cell

Structure (CIF):
```
data_LaSc2Nb2
_cell_length_a 8.4650
_cell_length_b 8.4650
_cell_length_c 3.3405
_cell_angle_alpha 90.00
_cell_angle_beta 90.00
_cell_angle_gamma 90.00
_symmetry_space_group_name_H-M 'P 1'
_symmetry_Int_Tables_number 1
loop_
_symmetry_equiv_pos_as_xyz
'x,y,z'
loop_
_atom_site_label
_atom_site_fract_x
_atom_site_fract_y
_atom_site_fract_z
La1 0.0000 0.0000 0.0000
La2 0.5000 0.5000 0.0000
Sc1 0.1824 0.3176 0.5000
Sc2 0.3176 0.8176 0.5000
Sc3 0.6824 0.1824 0.5000
Sc4 0.8176 0.6824 0.5000
Nb1 0.1067 0.6067 0.0000
Nb2 0.3933 0.1067 0.0000
Nb3 0.6067 0.8933 0.0000
Nb4 0.8933 0.3933 0.0000
```

No. 2
# AlSbMo2

Crystalline AlSbMo2 at its relaxed geometry (GGA-PBE, the Alexandria database).

N(E_F) ... 3.49 states/eV per cell

Structure (CIF):
```
data_AlSbMo2
_cell_length_a 5.0440
_cell_length_b 5.0440
_cell_length_c 5.0440
_cell_angle_alpha 132.87
_cell_angle_beta 132.87
_cell_angle_gamma 68.86
_symmetry_space_group_name_H-M 'P 1'
_symmetry_Int_Tables_number 1
loop_
_symmetry_equiv_pos_as_xyz
'x,y,z'
loop_
_atom_site_label
_atom_site_fract_x
_atom_site_fract_y
_atom_site_fract_z
Al1 0.0000 0.0000 0.0000
Sb1 0.7500 0.2500 0.5000
Mo1 0.2500 0.7500 0.5000
Mo2 0.5000 0.5000 0.0000
```

No. 3
# ZrRe2Si

Crystalline ZrRe2Si at its relaxed geometry (GGA-PBE, the Alexandria database).

N(E_F) ... 3.33 states/eV per cell

Structure (CIF):
```
data_ZrRe2Si
_cell_length_a 2.8514
_cell_length_b 4.5686
_cell_length_c 4.9809
_cell_angle_alpha 90.00
_cell_angle_beta 91.00
_cell_angle_gamma 90.00
_symmetry_space_group_name_H-M 'P 1'
_symmetry_Int_Tables_number 1
loop_
_symmetry_equiv_pos_as_xyz
'x,y,z'
loop_
_atom_site_label
_atom_site_fract_x
_atom_site_fract_y
_atom_site_fract_z
Zr1 0.0000 0.0000 0.0000
Re1 0.3364 0.5000 0.7415
Re2 0.6636 0.5000 0.2585
Si1 0.5000 0.0000 0.5000
```

No. 4
# PrSm6Ho2Mg

Crystalline PrSm6Ho2Mg at its relaxed geometry (GGA-PBE, the Alexandria database).

Formation enthalpy at 0 K ... 0.117 eV/atom
N(E_F) ... 26.92 states/eV per cell

Structure (CIF):
```
data_PrSm6Ho2Mg
_cell_length_a 9.1819
_cell_length_b 9.1819
_cell_length_c 8.8895
_cell_angle_alpha 90.58
_cell_angle_beta 90.58
_cell_angle_gamma 118.67
_symmetry_space_group_name_H-M 'P 1'
_symmetry_Int_Tables_number 1
loop_
_symmetry_equiv_pos_as_xyz
'x,y,z'
loop_
_atom_site_label
_atom_site_fract_x
_atom_site_fract_y
_atom_site_fract_z
Pr1 0.0351 0.9649 0.7500
Pr2 0.9649 0.0351 0.2500
Sm1 0.0407 0.4639 0.3017
Sm2 0.1223 0.7948 0.0508
Sm3 0.2052 0.8777 0.4492
Sm4 0.2666 0.5298 0.9110
Sm5 0.4639 0.0407 0.8017
Sm6 0.4702 0.7334 0.5890
Sm7 0.5298 0.2666 0.4110
Sm8 0.5361 0.9593 0.1983
Sm9 0.7334 0.4702 0.0890
Sm10 0.7948 0.1223 0.5508
Sm11 0.8777 0.2052 0.9492
Sm12 0.9593 0.5361 0.6983
Ho1 0.2195 0.3238 0.5563
Ho2 0.3238 0.2195 0.0563
Ho3 0.6762 0.7805 0.9437
Ho4 0.7805 0.6762 0.4437
Mg1 0.4419 0.5581 0.2500
Mg2 0.5581 0.4419 0.7500
```

No. 5
# Be2TlC2

Crystalline Be2TlC2 at its relaxed geometry (GGA-PBE, the Alexandria database).

Formation enthalpy at 0 K ... 1.168 eV/atom
N(E_F) ... 2.97 states/eV per cell

Structure (CIF):
```
data_Be2TlC2
_cell_length_a 6.7003
_cell_length_b 6.7003
_cell_length_c 2.8622
_cell_angle_alpha 90.00
_cell_angle_beta 90.00
_cell_angle_gamma 90.00
_symmetry_space_group_name_H-M 'P 1'
_symmetry_Int_Tables_number 1
loop_
_symmetry_equiv_pos_as_xyz
'x,y,z'
loop_
_atom_site_label
_atom_site_fract_x
_atom_site_fract_y
_atom_site_fract_z
Be1 0.1014 0.3986 0.0000
Be2 0.3986 0.8986 0.0000
Be3 0.6014 0.1014 0.0000
Be4 0.8986 0.6014 0.0000
Tl1 0.0000 0.0000 0.5000
Tl2 0.5000 0.5000 0.5000
C1 0.0791 0.5791 0.5000
C2 0.4209 0.0791 0.5000
C3 0.5791 0.9209 0.5000
C4 0.9209 0.4209 0.5000
```

No. 6
# CrPtS3

Crystalline CrPtS3 at its relaxed geometry (GGA-PBE, the Alexandria database).

N(E_F) ... 7.94 states/eV per cell

Structure (CIF):
```
data_CrPtS3
_cell_length_a 4.4061
_cell_length_b 4.4061
_cell_length_c 4.4061
_cell_angle_alpha 90.00
_cell_angle_beta 90.00
_cell_angle_gamma 90.00
_symmetry_space_group_name_H-M 'P 1'
_symmetry_Int_Tables_number 1
loop_
_symmetry_equiv_pos_as_xyz
'x,y,z'
loop_
_atom_site_label
_atom_site_fract_x
_atom_site_fract_y
_atom_site_fract_z
Cr1 0.0000 0.0000 0.0000
Pt1 0.5000 0.5000 0.5000
S1 0.0000 0.0000 0.5000
S2 0.0000 0.5000 0.0000
S3 0.5000 0.0000 0.0000
```

No. 7
# NaCa2ZnCu

Crystalline NaCa2ZnCu at its relaxed geometry (GGA-PBE, the Alexandria database).

Formation enthalpy at 0 K ... 0.009 eV/atom
N(E_F) ... 2.14 states/eV per cell

Structure (CIF):
```
data_NaCa2ZnCu
_cell_length_a 5.6387
_cell_length_b 5.6387
_cell_length_c 4.7197
_cell_angle_alpha 90.00
_cell_angle_beta 90.00
_cell_angle_gamma 90.00
_symmetry_space_group_name_H-M 'P 1'
_symmetry_Int_Tables_number 1
loop_
_symmetry_equiv_pos_as_xyz
'x,y,z'
loop_
_atom_site_label
_atom_site_fract_x
_atom_site_fract_y
_atom_site_fract_z
Na1 0.0000 0.0000 0.0000
Ca1 0.0000 0.5000 0.5000
Ca2 0.5000 0.0000 0.5000
Zn1 0.5000 0.5000 0.0000
Cu1 0.5000 0.5000 0.5000
```

Which uncorrected energy belongs to each record? In order, -7.328, -7.175, -9.775, -4.267, -4.485, -5.019, -2.129 eV/atom.